No. 1
DFT (GGA-PBE) results for crystalline Mn2C3 at its relaxed geometry.

## Properties
size of the total moment	0.8186	μB/atom
DOS at the Fermi energy	2.8	states/eV/cell
space group	R-3m, No. 166
polymorph energy (0 for the lowest one)	0.164	eV/atom
total DFT energy (no corrections)	-8.63	eV/atom

Cell and atoms, written as POSCAR:
```
Mn2C3
1.0
6.7941 -1.3287 0.0101
6.7941 1.3287 0.0101
6.5308 0.0000 2.2964
Mn C
2 3
Direct
0.3910 0.3910 0.3910
0.6090 0.6090 0.6090
0.0000 0.0000 0.0000
0.8259 0.8259 0.8259
0.1741 0.1741 0.1741
```


No. 2
DFT (GGA-PBE) results for crystalline BaLaAu2 at its relaxed geometry.

## Properties
size of the total moment	0.0000	μB/atom
DOS at the Fermi energy	3.2	states/eV/cell
space group	Amm2, No. 38
total DFT energy (no corrections)	-4.06	eV/atom

Cell and atoms, written as POSCAR:
```
BaLaAu2
1.0
-4.2908 3.3355 3.2208
-4.7051 -0.6734 4.1615
3.2589 0.5487 3.7737
Au Ba La
2 1 1
Direct
0.0480 0.0480 0.8750
0.2134 0.2134 0.3750
0.4858 0.4858 0.3750
0.7528 0.7528 0.8750
```


No. 3
DFT (GGA-PBE) results for crystalline PuAg2PbCl8 at its relaxed geometry.

## Properties
formation energy (no corrections)	-1.122	eV per atom
size of the total moment	0.3302	μB/atom
DOS at the Fermi energy	3.4	states/eV/cell
space group	P-1, No. 2
total DFT energy (no corrections)	-4.33	eV/atom

Cell and atoms, written as POSCAR:
```
PuAg2PbCl8
1.0
-2.6704 2.3160 -5.6419
5.1856 -2.3326 -3.0382
-3.5932 -7.4563 -2.0170
Pu Ag Pb Cl
1 2 1 8
Direct
0.0000 0.0000 0.0000
0.4682 0.4475 0.7278
0.5318 0.5525 0.2722
0.0000 0.0000 0.5000
0.1551 0.7772 0.2322
0.6847 0.7390 0.0159
0.8336 0.2105 0.2193
0.8449 0.2228 0.7678
0.3153 0.2610 0.9841
0.1664 0.7895 0.7807
0.6536 0.7216 0.5285
0.3464 0.2784 0.4715
```